PrHoTeSe: relaxed, PBE.

Cell: 8.019 8.019 8.019 Å, 29.94 29.94 29.94°
Positions (direct):
Pr (0.000, 0.000, 0.000)
Ho (0.162, 0.162, 0.162)
Te (0.576, 0.576, 0.576)
Se (0.754, 0.754, 0.754)

As for the space group: R3m, No. 160. The total energy comes out at -22.07 eV per cell. The energy relative to the elements, uncorrected is -1.521 eV per atom.